Nd6SiGe2Br3 | PBE | relaxed

E_tot in eV/f.u.: -61.85
Formation energy (no corrections) in meV/atom: -1130.6
Calculated density in g/cm3: 6.1

Lattice parameters (Å, degrees): 4.3016 8.8166 9.8186 105.04 102.65 90.00
With the nearest neighbours (Å) after each atom.
Fractional coordinates of all 12 atoms:
Nd 0.3433 0.8997 0.6866  1 Si 2.90, 2 Ge 2.94, 2 Br 3.23
Nd 0.6745 0.5622 0.3490  3 Ge 2.93, 3 Br 3.24-3.25
Nd 0.6567 0.1003 0.3134  1 Si 2.90, 2 Ge 2.94, 2 Br 3.23
Nd 0.0071 0.2261 0.0142  2 Si 2.91, 1 Ge 2.95, 1 Br 3.24
Nd 0.9929 0.7739 0.9858  2 Si 2.91, 1 Ge 2.95, 1 Br 3.24
Nd 0.3255 0.4378 0.6510  3 Ge 2.93, 3 Br 3.24-3.25
Si 0.5000 0.0000 0.0000  6 Nd 2.90-2.91
Ge 0.8332 0.6672 0.6664  6 Nd 2.93-2.95
Ge 0.1668 0.3328 0.3336  6 Nd 2.93-2.95
Br 0.5000 0.5000 0.0000  6 Nd 3.24-3.26
Br 0.8329 0.1667 0.6657  6 Nd 3.23-3.27
Br 0.1671 0.8333 0.3343  6 Nd 3.23-3.27